A plane-wave DFT calculation with PBE was carried out for an optimized crystal structure of CaPm3Al8.

a b c (Å): 5.651 5.651 9.817
angles (deg): 73.27 73.27 60.00
Atoms (fractional coordinates):
Ca 0.875 0.875 0.374
Pm 0.375 0.375 0.876
Pm 0.998 0.998 0.005
Pm 0.501 0.501 0.497
Al 0.939 0.438 0.185
Al 0.436 0.937 0.689
Al 0.438 0.438 0.185
Al 0.937 0.937 0.689
Al 0.188 0.188 0.437
Al 0.687 0.687 0.938
Al 0.438 0.939 0.185
Al 0.937 0.436 0.689

Summary:
energy of formation from the pure elements: -45 kJ/mol of atoms
electronic total energy: -4.31 eV per atom
E above lowest polymorph: 0 meV/atom
total magnetization: 0.0000 μB/atom
crystal system: trigonal
ρ: 4.5 g/cm3

=====

A plane-wave DFT calculation with PBE was carried out for an optimized crystal structure of K2Ba6NaIr.

a b c (Å): 9.313 9.313 17.110
angles (deg): 74.21 74.21 60.00
Atoms (fractional coordinates):
K 0.881 0.881 0.357
K 0.119 0.119 0.643
K 0.715 0.715 0.856
K 0.285 0.285 0.144
Ba 0.861 0.370 0.399
Ba 0.370 0.861 0.399
Ba 0.370 0.370 0.399
Ba 0.139 0.630 0.601
Ba 0.630 0.139 0.601
Ba 0.630 0.630 0.601
Ba 0.723 0.192 0.893
Ba 0.192 0.723 0.893
Ba 0.192 0.192 0.893
Ba 0.277 0.808 0.107
Ba 0.808 0.277 0.107
Ba 0.808 0.808 0.107
Na 0.584 0.584 0.249
Na 0.416 0.416 0.751
Ir 0.000 0.000 0.000
Ir 0.500 0.500 0.500

Summary:
energy of formation from the pure elements: -1 kJ/mol of atoms
electronic total energy: -2.40 eV per atom
total magnetization: 0.0000 μB/atom
crystal system: trigonal
ρ: 3.0 g/cm3